Record 1
Here is an optimized crystal structure of Ir2OsSe from the Alexandria database. Energies are from PBE-GGA.

Geometry as CIF:
```
data_Ir2OsSe
_chemical_formula_sum 'Ir2 Os1 Se1'
_symmetry_space_group_name_H-M 'P 4/m m m'
_symmetry_Int_Tables_number 123
_symmetry_space_group_name_Hall '-P 4 2'
_cell_length_a 2.8006
_cell_length_b 2.8006
_cell_length_c 7.8375
_cell_angle_alpha 90.00
_cell_angle_beta 90.00
_cell_angle_gamma 90.00
loop_
_atom_site_label
_atom_site_type_symbol
_atom_site_fract_x
_atom_site_fract_y
_atom_site_fract_z
Ir1 Ir 0.0000 0.0000 0.2336
Os1 Os 0.5000 0.5000 0.0000
Se1 Se 0.5000 0.5000 0.5000
```



Record 2
Here is an optimized crystal structure of IrOs2Se from the Alexandria database. Energies are from PBE-GGA.

Geometry as CIF:
```
data_IrOs2Se
_chemical_formula_sum 'Ir2 Os4 Se2'
_symmetry_space_group_name_H-M 'I -4 m 2'
_symmetry_Int_Tables_number 119
_symmetry_space_group_name_Hall 'I -4 -2'
_cell_length_a 4.0042
_cell_length_b 4.0042
_cell_length_c 7.5251
_cell_angle_alpha 90.00
_cell_angle_beta 90.00
_cell_angle_gamma 90.00
loop_
_atom_site_label
_atom_site_type_symbol
_atom_site_fract_x
_atom_site_fract_y
_atom_site_fract_z
Ir1 Ir 0.0000 0.0000 0.0000
Os1 Os 0.0000 0.0000 0.5000
Os2 Os 0.0000 0.5000 0.7500
Se1 Se 0.0000 0.5000 0.2500
```



Record 3
# IrOsSe2 | the Alexandria database | PBE-GGA | optimized geometry
# Polymorph energy (0 for the lowest one) (eV per atom): 0.5728
data_IrOsSe2
_chemical_formula_sum 'Ir4 Os4 Se8'
_symmetry_space_group_name_H-M 'F m -3 m'
_symmetry_Int_Tables_number 225
_symmetry_space_group_name_Hall '-F 4 2 3'
_cell_length_a 6.3247
_cell_length_b 6.3247
_cell_length_c 6.3247
_cell_angle_alpha 90.00
_cell_angle_beta 90.00
_cell_angle_gamma 90.00
loop_
_atom_site_label
_atom_site_type_symbol
_atom_site_fract_x
_atom_site_fract_y
_atom_site_fract_z
Ir1 Ir 0.0000 0.0000 0.0000
Os1 Os 0.0000 0.0000 0.5000
Se1 Se 0.2500 0.2500 0.2500



Record 4
# IrOsSe2 | the Alexandria database | PBE-GGA | optimized geometry
# Polymorph energy (0 for the lowest one) (eV per atom): 0.5472
data_IrOsSe2
_chemical_formula_sum 'Ir1 Os1 Se2'
_symmetry_space_group_name_H-M 'P 4/m m m'
_symmetry_Int_Tables_number 123
_symmetry_space_group_name_Hall '-P 4 2'
_cell_length_a 3.1845
_cell_length_b 3.1845
_cell_length_c 6.2306
_cell_angle_alpha 90.00
_cell_angle_beta 90.00
_cell_angle_gamma 90.00
loop_
_atom_site_label
_atom_site_type_symbol
_atom_site_fract_x
_atom_site_fract_y
_atom_site_fract_z
Ir1 Ir 0.0000 0.0000 0.0000
Os1 Os 0.0000 0.0000 0.5000
Se1 Se 0.5000 0.5000 0.2524



Record 5
# IrOsSe2 | the Alexandria database | PBE-GGA | optimized geometry
# Polymorph energy (0 for the lowest one) (eV per atom): 0.1728
data_IrOsSe2
_chemical_formula_sum 'Ir2 Os2 Se4'
_symmetry_space_group_name_H-M 'C 1 2/m 1'
_symmetry_Int_Tables_number 12
_symmetry_space_group_name_Hall '-C 2y'
_cell_length_a 13.4731
_cell_length_b 2.8716
_cell_length_c 4.6943
_cell_angle_alpha 90.00
_cell_angle_beta 94.55
_cell_angle_gamma 90.00
loop_
_atom_site_label
_atom_site_type_symbol
_atom_site_fract_x
_atom_site_fract_y
_atom_site_fract_z
Ir1 Ir 0.0000 0.0000 0.0000
Os1 Os 0.0000 0.5000 0.5000
Se1 Se 0.1419 0.0000 0.7078



Record 6
Here is an optimized crystal structure of IrOs2Se from the Alexandria database. Energies are from PBE-GGA.

Geometry as CIF:
```
data_IrOs2Se
_chemical_formula_sum 'Ir3 Os6 Se3'
_symmetry_space_group_name_H-M 'R -3 m'
_symmetry_Int_Tables_number 166
_symmetry_space_group_name_Hall '-R 3 2"'
_cell_length_a 2.8450
_cell_length_b 2.8450
_cell_length_c 25.5027
_cell_angle_alpha 90.00
_cell_angle_beta 90.00
_cell_angle_gamma 120.00
loop_
_atom_site_label
_atom_site_type_symbol
_atom_site_fract_x
_atom_site_fract_y
_atom_site_fract_z
Ir1 Ir 0.0000 0.0000 0.0000
Os1 Os 0.0000 0.0000 0.2482
Se1 Se 0.0000 0.0000 0.5000
```



Record 7
# IrOsSe2 | the Alexandria database | PBE-GGA | optimized geometry
# Polymorph energy (0 for the lowest one) (eV per atom): 0.7320
data_IrOsSe2
_chemical_formula_sum 'Ir2 Os2 Se4'
_symmetry_space_group_name_H-M 'I -4 m 2'
_symmetry_Int_Tables_number 119
_symmetry_space_group_name_Hall 'I -4 -2'
_cell_length_a 3.8254
_cell_length_b 3.8254
_cell_length_c 8.7444
_cell_angle_alpha 90.00
_cell_angle_beta 90.00
_cell_angle_gamma 90.00
loop_
_atom_site_label
_atom_site_type_symbol
_atom_site_fract_x
_atom_site_fract_y
_atom_site_fract_z
Ir1 Ir 0.0000 0.0000 0.0000
Os1 Os 0.0000 0.5000 0.7500
Se1 Se 0.0000 0.0000 0.5000
Se2 Se 0.0000 0.5000 0.2500



Record 8
# IrOsSe2 | the Alexandria database | PBE-GGA | optimized geometry
# Polymorph energy (0 for the lowest one) (eV per atom): 0.0000
data_IrOsSe2
_chemical_formula_sum 'Ir1 Os1 Se2'
_symmetry_space_group_name_H-M 'P 1 m 1'
_symmetry_Int_Tables_number 6
_symmetry_space_group_name_Hall 'P -2y'
_cell_length_a 2.7286
_cell_length_b 3.6086
_cell_length_c 8.1191
_cell_angle_alpha 90.00
_cell_angle_beta 90.13
_cell_angle_gamma 90.00
loop_
_atom_site_label
_atom_site_type_symbol
_atom_site_fract_x
_atom_site_fract_y
_atom_site_fract_z
Ir1 Ir 0.0000 0.0000 0.0000
Os1 Os 0.4988 0.5000 0.8275
Se1 Se 0.0020 0.5000 0.2124
Se2 Se 0.4978 0.0000 0.6143



Record 9
# Ir3OsSe | the Alexandria database | PBE-GGA | optimized geometry
# Polymorph energy (0 for the lowest one) (eV per atom): 0.0000
data_Ir3OsSe
_chemical_formula_sum 'Ir3 Os1 Se1'
_symmetry_space_group_name_H-M 'P m -3 m'
_symmetry_Int_Tables_number 221
_symmetry_space_group_name_Hall '-P 4 2 3'
_cell_length_a 4.5261
_cell_length_b 4.5261
_cell_length_c 4.5261
_cell_angle_alpha 90.00
_cell_angle_beta 90.00
_cell_angle_gamma 90.00
loop_
_atom_site_label
_atom_site_type_symbol
_atom_site_fract_x
_atom_site_fract_y
_atom_site_fract_z
Ir1 Ir 0.0000 0.0000 0.5000
Os1 Os 0.5000 0.5000 0.5000
Se1 Se 0.0000 0.0000 0.0000



Record 10
# IrOsSe2 | the Alexandria database | PBE-GGA | optimized geometry
# Polymorph energy (0 for the lowest one) (eV per atom): 0.1523
data_IrOsSe2
_chemical_formula_sum 'Ir3 Os3 Se6'
_symmetry_space_group_name_H-M 'R 3 m'
_symmetry_Int_Tables_number 160
_symmetry_space_group_name_Hall 'R 3 -2"'
_cell_length_a 3.1392
_cell_length_b 3.1392
_cell_length_c 28.2837
_cell_angle_alpha 90.00
_cell_angle_beta 90.00
_cell_angle_gamma 120.00
loop_
_atom_site_label
_atom_site_type_symbol
_atom_site_fract_x
_atom_site_fract_y
_atom_site_fract_z
Ir1 Ir 0.0000 0.0000 0.0000
Os1 Os 0.0000 0.0000 0.7489
Se1 Se 0.0000 0.0000 0.2761
Se2 Se 0.0000 0.0000 0.4724



Record 11
Here is an optimized crystal structure of IrOs2Se from the Alexandria database. Energies are from PBE-GGA.

Geometry as CIF:
```
data_IrOs2Se
_chemical_formula_sum 'Ir2 Os4 Se2'
_symmetry_space_group_name_H-M 'C 1 m 1'
_symmetry_Int_Tables_number 8
_symmetry_space_group_name_Hall 'C -2y'
_cell_length_a 9.6191
_cell_length_b 2.8338
_cell_length_c 4.5147
_cell_angle_alpha 90.00
_cell_angle_beta 91.56
_cell_angle_gamma 90.00
loop_
_atom_site_label
_atom_site_type_symbol
_atom_site_fract_x
_atom_site_fract_y
_atom_site_fract_z
Ir1 Ir 0.0000 0.0000 0.0000
Os1 Os 0.2198 0.5000 0.2766
Os2 Os 0.4456 0.0000 0.4702
Se1 Se 0.2241 0.0000 0.7409
```



Record 12
Here is an optimized crystal structure of Ir2OsSe from the Alexandria database. Energies are from PBE-GGA.

Geometry as CIF:
```
data_Ir2OsSe
_chemical_formula_sum 'Ir4 Os2 Se2'
_symmetry_space_group_name_H-M 'C m m m'
_symmetry_Int_Tables_number 65
_symmetry_space_group_name_Hall '-C 2 2'
_cell_length_a 5.5203
_cell_length_b 7.7689
_cell_length_c 2.8210
_cell_angle_alpha 90.00
_cell_angle_beta 90.00
_cell_angle_gamma 90.00
loop_
_atom_site_label
_atom_site_type_symbol
_atom_site_fract_x
_atom_site_fract_y
_atom_site_fract_z
Ir1 Ir 0.2500 0.2500 0.0000
Os1 Os 0.0000 0.0000 0.5000
Se1 Se 0.0000 0.5000 0.5000
```



Record 13
Here is an optimized crystal structure of IrOs2Se from the Alexandria database. Energies are from PBE-GGA.

Geometry as CIF:
```
data_IrOs2Se
_chemical_formula_sum 'Ir1 Os2 Se1'
_symmetry_space_group_name_H-M 'P 1 m 1'
_symmetry_Int_Tables_number 6
_symmetry_space_group_name_Hall 'P -2y'
_cell_length_a 2.8581
_cell_length_b 4.0207
_cell_length_c 5.4211
_cell_angle_alpha 90.00
_cell_angle_beta 105.21
_cell_angle_gamma 90.00
loop_
_atom_site_label
_atom_site_type_symbol
_atom_site_fract_x
_atom_site_fract_y
_atom_site_fract_z
Ir1 Ir 0.0000 0.0000 0.0000
Os1 Os 0.2497 0.0000 0.4982
Os2 Os 0.6325 0.5000 0.2656
Se1 Se 0.3968 0.5000 0.7879
```



Record 14
# IrOsSe2 | the Alexandria database | PBE-GGA | optimized geometry
# Polymorph energy (0 for the lowest one) (eV per atom): 0.5479
data_IrOsSe2
_chemical_formula_sum 'Ir2 Os2 Se4'
_symmetry_space_group_name_H-M 'C m m m'
_symmetry_Int_Tables_number 65
_symmetry_space_group_name_Hall '-C 2 2'
_cell_length_a 5.9861
_cell_length_b 8.3674
_cell_length_c 2.7247
_cell_angle_alpha 90.00
_cell_angle_beta 90.00
_cell_angle_gamma 90.00
loop_
_atom_site_label
_atom_site_type_symbol
_atom_site_fract_x
_atom_site_fract_y
_atom_site_fract_z
Ir1 Ir 0.0000 0.0000 0.0000
Os1 Os 0.0000 0.5000 0.0000
Se1 Se 0.2500 0.2500 0.0000



Record 15
# IrOsSe2 | the Alexandria database | PBE-GGA | optimized geometry
# Polymorph energy (0 for the lowest one) (eV per atom): 0.2216
data_IrOsSe2
_chemical_formula_sum 'Ir1 Os1 Se2'
_symmetry_space_group_name_H-M 'P m m 2'
_symmetry_Int_Tables_number 25
_symmetry_space_group_name_Hall 'P 2 -2'
_cell_length_a 3.0773
_cell_length_b 3.7904
_cell_length_c 6.2876
_cell_angle_alpha 90.00
_cell_angle_beta 90.00
_cell_angle_gamma 90.00
loop_
_atom_site_label
_atom_site_type_symbol
_atom_site_fract_x
_atom_site_fract_y
_atom_site_fract_z
Ir1 Ir 0.0000 0.0000 0.0000
Os1 Os 0.5000 0.5000 0.2367
Se1 Se 0.0000 0.0000 0.3948
Se2 Se 0.5000 0.5000 0.8479



Record 16
Here is an optimized crystal structure of IrOs2Se from the Alexandria database. Energies are from PBE-GGA.

Geometry as CIF:
```
data_IrOs2Se
_chemical_formula_sum 'Ir2 Os4 Se2'
_symmetry_space_group_name_H-M 'C m m 2'
_symmetry_Int_Tables_number 35
_symmetry_space_group_name_Hall 'C 2 -2'
_cell_length_a 2.7477
_cell_length_b 4.8212
_cell_length_c 9.4565
_cell_angle_alpha 90.00
_cell_angle_beta 90.00
_cell_angle_gamma 90.00
loop_
_atom_site_label
_atom_site_type_symbol
_atom_site_fract_x
_atom_site_fract_y
_atom_site_fract_z
Ir1 Ir 0.0000 0.0000 0.0000
Os1 Os 0.0000 0.0000 0.4796
Os2 Os 0.0000 0.5000 0.2435
Se1 Se 0.0000 0.5000 0.7411
```



Record 17
Here is an optimized crystal structure of Ir2OsSe from the Alexandria database. Energies are from PBE-GGA.

Geometry as CIF:
```
data_Ir2OsSe
_chemical_formula_sum 'Ir2 Os1 Se1'
_symmetry_space_group_name_H-M 'P m m m'
_symmetry_Int_Tables_number 47
_symmetry_space_group_name_Hall '-P 2 2'
_cell_length_a 2.8114
_cell_length_b 3.8009
_cell_length_c 5.7315
_cell_angle_alpha 90.00
_cell_angle_beta 90.00
_cell_angle_gamma 90.00
loop_
_atom_site_label
_atom_site_type_symbol
_atom_site_fract_x
_atom_site_fract_y
_atom_site_fract_z
Ir1 Ir 0.0000 0.0000 0.2329
Os1 Os 0.5000 0.5000 0.0000
Se1 Se 0.5000 0.5000 0.5000
```



Record 18
Here is an optimized crystal structure of Ir2OsSe from the Alexandria database. Energies are from PBE-GGA.

Geometry as CIF:
```
data_Ir2OsSe
_chemical_formula_sum 'Ir2 Os1 Se1'
_symmetry_space_group_name_H-M 'P 4/m m m'
_symmetry_Int_Tables_number 123
_symmetry_space_group_name_Hall '-P 4 2'
_cell_length_a 3.8963
_cell_length_b 3.8963
_cell_length_c 3.9886
_cell_angle_alpha 90.00
_cell_angle_beta 90.00
_cell_angle_gamma 90.00
loop_
_atom_site_label
_atom_site_type_symbol
_atom_site_fract_x
_atom_site_fract_y
_atom_site_fract_z
Ir1 Ir 0.0000 0.5000 0.0000
Os1 Os 0.0000 0.0000 0.5000
Se1 Se 0.5000 0.5000 0.5000
```



Record 19
# IrOsSe2 | the Alexandria database | PBE-GGA | optimized geometry
# Polymorph energy (0 for the lowest one) (eV per atom): 0.1772
data_IrOsSe2
_chemical_formula_sum 'Ir1 Os1 Se2'
_symmetry_space_group_name_H-M 'P 4 m m'
_symmetry_Int_Tables_number 99
_symmetry_space_group_name_Hall 'P 4 -2'
_cell_length_a 2.9432
_cell_length_b 2.9432
_cell_length_c 8.3878
_cell_angle_alpha 90.00
_cell_angle_beta 90.00
_cell_angle_gamma 90.00
loop_
_atom_site_label
_atom_site_type_symbol
_atom_site_fract_x
_atom_site_fract_y
_atom_site_fract_z
Ir1 Ir 0.0000 0.0000 0.0000
Os1 Os 0.5000 0.5000 0.2295
Se1 Se 0.0000 0.0000 0.4066
Se2 Se 0.5000 0.5000 0.8013



Record 20
Here is an optimized crystal structure of IrOs2Se2 from the Alexandria database. Energies are from PBE-GGA.

Geometry as CIF:
```
data_IrOs2Se2
_chemical_formula_sum 'Ir2 Os4 Se4'
_symmetry_space_group_name_H-M 'I 4/m m m'
_symmetry_Int_Tables_number 139
_symmetry_space_group_name_Hall '-I 4 2'
_cell_length_a 3.8710
_cell_length_b 3.8710
_cell_length_c 11.2877
_cell_angle_alpha 90.00
_cell_angle_beta 90.00
_cell_angle_gamma 90.00
loop_
_atom_site_label
_atom_site_type_symbol
_atom_site_fract_x
_atom_site_fract_y
_atom_site_fract_z
Ir1 Ir 0.0000 0.0000 0.0000
Os1 Os 0.0000 0.0000 0.3909
Se1 Se 0.0000 0.5000 0.2500
```



Values of energy relative to the elements, uncorrected, in order: 8.31 17.51 16.58 15.99 7.36 12.09 20.25 3.37 43.25 6.89 12.27 12.08 12.40 16.01 8.48 17.57 11.21 15.98 7.46 20.73, all in kcal/mol of atoms.